[1]
YbHoZn2 | Alexandria | PBE | relaxed; formation energy from the elements = -335 meV/atom; total magnetization = 0.000 μB/atom; total energy = -39.96 eV per cell; volume = 22.677 Å³/atom
1.0
7.1324 0.0000 0.0000
0.0000 7.1324 0.0000
0.0000 0.0000 7.1324
Yb Ho Zn
4 4 8
direct
0.0000 0.0000 0.0000
0.0000 0.5000 0.5000
0.5000 0.0000 0.5000
0.5000 0.5000 0.0000
0.0000 0.0000 0.5000
0.0000 0.5000 0.0000
0.5000 0.0000 0.0000
0.5000 0.5000 0.5000
0.2500 0.2500 0.2500
0.2500 0.2500 0.7500
0.2500 0.7500 0.2500
0.2500 0.7500 0.7500
0.7500 0.2500 0.2500
0.7500 0.2500 0.7500
0.7500 0.7500 0.2500
0.7500 0.7500 0.7500

=====

[2]
DyYThN3 | Alexandria | PBE | relaxed; total magnetization = 0.063 μB/atom; formation energy without anion corrections = -142.43 kJ per mole of atoms; total energy = -104.64 eV per cell; volume = 15.770 Å³/atom
1.0
6.0527 0.0000 0.0000
0.0000 3.5005 0.0000
-1.9503 0.0000 8.9316
Dy Y Th N
2 2 2 6
direct
0.2283 0.2500 0.4530
0.7717 0.7500 0.5470
0.1403 0.7500 0.1392
0.8597 0.2500 0.8608
0.3458 0.7500 0.8051
0.6542 0.2500 0.1949
0.0451 0.2500 0.6566
0.2656 0.2500 0.9983
0.4602 0.7500 0.3295
0.5398 0.2500 0.6705
0.7344 0.7500 0.0017
0.9549 0.7500 0.3434

=====

[3]
CsSiMoN | Alexandria | PBE | relaxed; energy above the most stable polymorph in this dataset = 0.000 eV per atom; total magnetization = 0.000 μB/atom; formation energy without anion corrections = 7.76 kJ per mole of atoms; total energy = -50.22 eV per cell; volume = 22.958 Å³/atom
1.0
3.5126 0.0000 0.0000
0.0000 3.5126 0.0000
0.0000 0.0000 14.8857
Cs Si Mo N
2 2 2 2
direct
0.0000 0.0000 0.0000
0.5000 0.5000 0.5000
0.0000 0.0000 0.7134
0.5000 0.5000 0.2134
0.0000 0.0000 0.2694
0.5000 0.5000 0.7694
0.0000 0.0000 0.3840
0.5000 0.5000 0.8840

=====

[4]
Nd3SmTh4S8 | Alexandria | PBE | relaxed; total magnetization = 0.000 μB/atom; formation energy without anion corrections = -185.97 kJ per mole of atoms; total energy = -112.56 eV per cell; volume = 23.403 Å³/atom
1.0
4.0135 2.3172 6.7112
-4.0135 2.3172 6.7112
0.0000 -4.6343 6.7112
Nd Sm Th S
3 1 4 8
direct
0.0000 0.5000 0.5000
0.5000 0.0000 0.5000
0.5000 0.5000 0.0000
0.0000 0.0000 0.0000
0.0000 0.0000 0.5000
0.0000 0.5000 0.0000
0.5000 0.0000 0.0000
0.5000 0.5000 0.5000
0.2481 0.2481 0.7516
0.2481 0.7516 0.2481
0.2484 0.7519 0.7519
0.2502 0.2502 0.2502
0.7498 0.7498 0.7498
0.7516 0.2481 0.2481
0.7519 0.2484 0.7519
0.7519 0.7519 0.2484

=====

[5]
ErMnV | Alexandria | PBE | relaxed; formation energy from the elements = 277 meV/atom; energy above the most stable polymorph in this dataset = 0.016 eV per atom; total magnetization = 0.000 μB/atom; total energy = -22.02 eV per cell; volume = 18.710 Å³/atom
1.0
3.7312 0.0000 0.0000
-1.8656 3.2313 0.0000
0.0000 0.0000 4.6554
Er Mn V
1 1 1
direct
0.0000 0.0000 0.0000
0.3333 0.6667 0.5000
0.6667 0.3333 0.5000

=====

[6]
BiSeN2F | Alexandria | PBE | relaxed; energy above the most stable polymorph in this dataset = 0.349 eV per atom; total magnetization = 0.000 μB/atom; formation energy without anion corrections = 103.76 kJ per mole of atoms; total energy = -20.51 eV per cell; volume = 16.626 Å³/atom
1.0
4.4034 0.0000 0.0000
0.0000 4.4034 0.0000
0.0000 0.0000 4.2872
Bi Se N F
1 1 2 1
direct
0.0000 0.0000 0.0000
0.5000 0.5000 0.5000
0.0000 0.5000 0.0000
0.5000 0.0000 0.0000
0.0000 0.0000 0.5000

=====

[7]
Pr2Er3Sn4 | Alexandria | PBE | relaxed; formation energy from the elements = -633 meV/atom; energy above the most stable polymorph in this dataset = 0.155 eV per atom; total magnetization = 0.000 μB/atom; total energy = -89.91 eV per cell; volume = 29.781 Å³/atom
1.0
3.5031 -8.5802 0.0000
3.5031 8.5802 0.0000
0.0000 0.0000 8.9175
Pr Er Sn
4 6 8
direct
0.1108 0.8892 0.9117
0.3892 0.6108 0.4117
0.6108 0.3892 0.5883
0.8892 0.1108 0.0883
0.0000 0.0000 0.5000
0.0424 0.4576 0.7500
0.4576 0.0424 0.2500
0.5000 0.5000 0.0000
0.5424 0.9576 0.7500
0.9576 0.5424 0.2500
0.1863 0.8137 0.5542
0.2174 0.2826 0.7500
0.2826 0.2174 0.2500
0.3137 0.6863 0.0542
0.6863 0.3137 0.9458
0.7174 0.7826 0.7500
0.7826 0.7174 0.2500
0.8137 0.1863 0.4458

=====

[8]
PmHo2Hg5 | Alexandria | PBE | relaxed; formation energy from the elements = -438 meV/atom; total magnetization = 0.000 μB/atom; total energy = -37.83 eV per cell; volume = 25.080 Å³/atom
1.0
5.2315 0.0000 0.0000
0.0000 5.2315 0.0000
0.0000 0.0000 14.6625
Pm Ho Hg
2 4 10
direct
0.0000 0.0000 0.0000
0.5000 0.5000 0.5000
0.0000 0.0000 0.2663
0.0000 0.0000 0.7337
0.5000 0.5000 0.2337
0.5000 0.5000 0.7663
0.0000 0.0000 0.5000
0.0000 0.5000 0.1281
0.0000 0.5000 0.3719
0.0000 0.5000 0.6281
0.0000 0.5000 0.8719
0.5000 0.0000 0.1281
0.5000 0.0000 0.3719
0.5000 0.0000 0.6281
0.5000 0.0000 0.8719
0.5000 0.5000 0.0000